No. 1
Material: SmZnGa2Co2
Method: DFT, GGA-PBE
State: relaxed

POSCAR file:
```
SmZnGa2Co2
1.0
-1.694 -2.350 -3.290
-2.169 -2.482 2.890
-4.290 3.451 -0.256
Sm Zn Co Ga
1 1 2 2
direct
0.000 0.000 0.500
0.000 0.000 0.000
0.500 0.000 0.000
0.000 0.500 0.000
0.500 0.500 0.249
0.500 0.500 0.751
```

Size of the total moment (μB/f.u.): 1.358
Space-group type: No. 123
Formation energy from the elements (meV per atom): -71

---

No. 2
Material: SmZnGa3Co
Method: DFT, GGA-PBE
State: relaxed

POSCAR file:
```
SmZnGa3Co
1.0
6.244 0.000 0.000
0.000 6.476 0.000
0.000 -3.238 5.730
Ga Sm Co Zn
6 2 2 2
direct
0.000 0.301 0.000
0.000 0.699 0.000
0.750 0.808 0.615
0.500 0.699 0.000
0.250 0.192 0.385
0.500 0.301 0.000
0.750 0.278 0.555
0.250 0.722 0.445
0.750 0.611 0.222
0.250 0.389 0.778
0.750 0.023 0.047
0.250 0.977 0.953
```

Size of the total moment (μB/f.u.): 0.000
Space-group type: No. 63
Formation energy from the elements (meV per atom): -110

---

No. 3
Material: Ga2Co2Sn
Method: DFT, GGA-PBE
State: relaxed

POSCAR file:
```
Ga2Co2Sn
1.0
-2.735 -6.163 0.972
3.136 -2.275 -5.603
2.503 -0.836 1.741
Co Ga Sn
4 4 2
direct
0.852 0.648 0.000
0.648 0.148 0.000
0.148 0.352 0.000
0.352 0.852 0.000
0.355 0.145 0.500
0.645 0.855 0.500
0.145 0.645 0.500
0.855 0.355 0.500
0.000 0.000 0.000
0.500 0.500 0.000
```

Size of the total moment (μB/f.u.): 0.000
Space-group type: No. 127
Formation energy from the elements (meV per atom): -40

---

No. 4
Material: Ga2Co2Sn
Method: DFT, GGA-PBE
State: relaxed

POSCAR file:
```
Ga2Co2Sn
1.0
7.304 0.000 0.000
0.000 7.304 0.000
0.000 0.000 2.764
Co Sn Ga
4 2 4
direct
0.662 0.838 0.500
0.838 0.338 0.500
0.338 0.162 0.500
0.162 0.662 0.500
0.000 0.000 0.000
0.500 0.500 0.000
0.370 0.870 0.000
0.130 0.370 0.000
0.630 0.130 0.000
0.870 0.630 0.000
```

Size of the total moment (μB/f.u.): 0.000
Space-group type: No. 127
Formation energy from the elements (meV per atom): 62

---

No. 5
Material: Ga2Co2Sn
Method: DFT, GGA-PBE
State: relaxed

POSCAR file:
```
Ga2Co2Sn
1.0
3.553 0.000 0.000
0.000 3.553 0.000
1.777 1.777 5.937
Co Ga Sn
2 2 1
direct
0.397 0.397 0.206
0.603 0.603 0.794
0.250 0.750 0.500
0.750 0.250 0.500
0.000 0.000 0.000
```

Size of the total moment (μB/f.u.): 0.000
Space-group type: No. 139
Formation energy from the elements (meV per atom): -45

---

No. 6
Material: Ga2Co3Sn2
Method: DFT, GGA-PBE
State: relaxed

POSCAR file:
```
Ga2Co3Sn2
1.0
4.012 -0.006 0.001
-1.998 5.880 0.331
-0.004 -0.561 5.040
Sn Co Ga
2 3 2
direct
0.161 0.323 0.358
0.839 0.677 0.642
0.209 0.419 0.853
0.791 0.581 0.147
0.000 0.000 0.000
0.598 0.197 0.878
0.402 0.803 0.122
```

Size of the total moment (μB/f.u.): 0.000
Space-group type: No. 12
Formation energy from the elements (meV per atom): -54

---

No. 7
Material: Ga3CoSn
Method: DFT, GGA-PBE
State: relaxed

POSCAR file:
```
Ga3CoSn
1.0
-1.504 -4.209 1.180
-0.496 -1.076 -4.468
4.343 -1.581 -0.102
Ga Sn Co
3 1 1
direct
0.500 0.000 0.000
0.000 0.000 0.500
0.000 0.500 0.000
0.500 0.500 0.500
0.000 0.000 0.000
```

Size of the total moment (μB/f.u.): 0.000
Space-group type: No. 221
Formation energy from the elements (meV per atom): 19

---

No. 8
Material: Ga2Co2Sn
Method: DFT, GGA-PBE
State: relaxed

POSCAR file:
```
Ga2Co2Sn
1.0
4.066 0.000 0.000
0.000 4.066 0.000
2.033 2.033 4.976
Ga Sn Co
2 1 2
direct
0.629 0.629 0.741
0.371 0.371 0.259
0.000 0.000 0.000
0.250 0.750 0.500
0.750 0.250 0.500
```

Size of the total moment (μB/f.u.): 0.000
Space-group type: No. 139
Formation energy from the elements (meV per atom): 164

---

No. 9
Material: SrGa2CoSn
Method: DFT, GGA-PBE
State: relaxed

POSCAR file:
```
SrGa2CoSn
1.0
-2.855 0.226 3.730
0.752 -4.851 0.869
3.669 1.060 2.744
Co Sn Ga Sr
1 1 2 1
direct
0.000 0.000 0.000
0.000 0.500 0.000
0.500 0.000 0.000
0.000 0.000 0.500
0.500 0.500 0.500
```

Size of the total moment (μB/f.u.): 0.000
Space-group type: No. 123
Formation energy from the elements (meV per atom): -270

---

No. 10
Material: SrGaCoSn2
Method: DFT, GGA-PBE
State: relaxed

POSCAR file:
```
SrGaCoSn2
1.0
5.049 0.000 0.000
0.000 5.049 0.000
0.000 0.000 4.718
Sn Ga Co Sr
2 1 1 1
direct
0.000 0.500 0.000
0.500 0.000 0.000
0.000 0.000 0.500
0.000 0.000 0.000
0.500 0.500 0.500
```

Size of the total moment (μB/f.u.): 0.002
Space-group type: No. 123
Formation energy from the elements (meV per atom): -200

---

No. 11
Material: SrGaCo3
Method: DFT, GGA-PBE
State: relaxed

POSCAR file:
```
SrGaCo3
1.0
-0.439 -3.829 2.431
-0.748 -2.348 -3.833
4.473 -0.768 -0.402
Sr Co Ga
1 3 1
direct
0.500 0.500 0.500
0.000 0.500 0.000
0.500 0.000 0.000
0.000 0.000 0.500
0.000 0.000 0.000
```

Size of the total moment (μB/f.u.): 3.461
Space-group type: No. 221
Formation energy from the elements (meV per atom): 599

---

No. 12
Material: SrGa12Co6
Method: DFT, GGA-PBE
State: relaxed

POSCAR file:
```
SrGa12Co6
1.0
-0.021 -2.550 -6.489
-4.659 -3.874 3.450
-2.967 6.286 -0.547
Ga Co Sr
12 6 1
direct
0.119 0.500 0.881
0.881 0.119 0.500
0.850 0.579 0.579
0.881 0.500 0.119
0.579 0.850 0.579
0.150 0.421 0.421
0.500 0.119 0.881
0.119 0.881 0.500
0.421 0.421 0.150
0.579 0.579 0.850
0.500 0.881 0.119
0.421 0.150 0.421
0.270 0.684 0.270
0.684 0.270 0.270
0.270 0.270 0.684
0.730 0.316 0.730
0.730 0.730 0.316
0.316 0.730 0.730
0.000 0.000 0.000
```

Size of the total moment (μB/f.u.): 0.000
Space-group type: No. 166
Formation energy from the elements (meV per atom): -250

---

No. 13
Material: SrGa2Co2
Method: DFT, GGA-PBE
State: relaxed

POSCAR file:
```
SrGa2Co2
1.0
-5.584 -3.859 3.255
-0.815 -4.101 -6.260
1.866 -1.871 0.983
Co Ga Sr
4 4 2
direct
0.664 0.836 0.500
0.336 0.164 0.500
0.836 0.336 0.500
0.164 0.664 0.500
0.875 0.625 0.000
0.375 0.875 0.000
0.625 0.125 0.000
0.125 0.375 0.000
0.500 0.500 0.000
0.000 0.000 0.000
```

Size of the total moment (μB/f.u.): 0.000
Space-group type: No. 127
Formation energy from the elements (meV per atom): 27

---

No. 14
Material: SrGa2Co2
Method: DFT, GGA-PBE
State: relaxed

POSCAR file:
```
SrGa2Co2
1.0
-4.958 -4.363 3.474
4.682 -0.730 5.766
-1.152 2.284 1.224
Ga Co Sr
4 4 2
direct
0.359 0.141 0.500
0.641 0.859 0.500
0.859 0.359 0.500
0.141 0.641 0.500
0.356 0.856 0.000
0.856 0.644 0.000
0.644 0.144 0.000
0.144 0.356 0.000
0.000 0.000 0.000
0.500 0.500 0.000
```

Size of the total moment (μB/f.u.): 0.000
Space-group type: No. 127
Formation energy from the elements (meV per atom): -28

---

No. 15
Material: SrGa4Co2
Method: DFT, GGA-PBE
State: relaxed

POSCAR file:
```
SrGa4Co2
1.0
4.871 0.495 2.157
-0.067 4.895 2.157
0.439 0.493 5.158
Ga Co Sr
4 2 1
direct
0.000 0.608 0.696
0.608 0.000 0.696
0.000 0.392 0.304
0.392 0.000 0.304
0.500 0.500 0.750
0.500 0.500 0.250
0.000 0.000 0.000
```

Size of the total moment (μB/f.u.): 1.226
Space-group type: No. 139
Formation energy from the elements (meV per atom): -110

---

No. 16
Material: SrGa6Co2
Method: DFT, GGA-PBE
State: relaxed

POSCAR file:
```
SrGa6Co2
1.0
8.787 0.000 0.000
4.394 7.610 0.000
4.394 2.537 7.175
Ga Co Sr
12 4 2
direct
0.827 0.827 0.173
0.423 0.423 0.077
0.173 0.173 0.827
0.077 0.423 0.423
0.173 0.827 0.827
0.827 0.173 0.827
0.423 0.077 0.423
0.827 0.173 0.173
0.077 0.423 0.077
0.423 0.077 0.077
0.077 0.077 0.423
0.173 0.827 0.173
0.125 0.125 0.625
0.625 0.125 0.125
0.125 0.125 0.125
0.125 0.625 0.125
0.500 0.500 0.500
0.750 0.750 0.750
```

Size of the total moment (μB/f.u.): 0.000
Space-group type: No. 227
Formation energy from the elements (meV per atom): -12

---

No. 17
Material: SrGa2Co2
Method: DFT, GGA-PBE
State: relaxed

POSCAR file:
```
SrGa2Co2
1.0
-2.913 -4.280 2.741
-0.547 0.886 -5.765
6.588 -2.297 0.437
Ga Co Sr
4 4 2
direct
0.067 0.933 0.500
0.183 0.817 0.000
0.433 0.567 0.500
0.817 0.183 0.000
0.136 0.636 0.272
0.364 0.864 0.728
0.886 0.886 0.772
0.114 0.114 0.228
0.500 0.500 0.000
0.750 0.250 0.500
```

Size of the total moment (μB/f.u.): 0.000
Space-group type: No. 70
Formation energy from the elements (meV per atom): -232

---

No. 18
Material: Sr2Ga6Co
Method: DFT, GGA-PBE
State: relaxed

POSCAR file:
```
Sr2Ga6Co
1.0
-1.967 -5.184 -0.272
2.157 -0.514 -5.832
5.773 -2.139 -1.013
Co Ga Sr
1 6 2
direct
0.000 0.000 0.000
0.309 0.838 0.324
0.309 0.324 0.838
0.691 0.676 0.162
0.309 0.838 0.838
0.691 0.162 0.676
0.691 0.162 0.162
0.189 0.334 0.334
0.811 0.666 0.666
```

Size of the total moment (μB/f.u.): 0.000
Space-group type: No. 164
Formation energy from the elements (meV per atom): -334

---

No. 19
Material: SrGa2Co
Method: DFT, GGA-PBE
State: relaxed

POSCAR file:
```
SrGa2Co
1.0
-1.698 -1.266 3.581
2.244 -2.247 2.687
1.926 3.563 4.590
Ga Sr Co
2 1 1
direct
0.799 0.799 0.603
0.201 0.201 0.397
0.000 0.000 0.000
0.500 0.500 0.500
```

Size of the total moment (μB/f.u.): 0.000
Space-group type: No. 166
Formation energy from the elements (meV per atom): -316

---

No. 20
Material: SrGa2Co
Method: DFT, GGA-PBE
State: relaxed

POSCAR file:
```
SrGa2Co
1.0
-1.311 -4.411 -1.242
-4.458 -0.838 -1.462
-0.853 -1.033 -4.574
Ga Sr Co
2 1 1
direct
0.250 0.250 0.250
0.750 0.750 0.750
0.500 0.500 0.500
0.000 0.000 0.000
```

Size of the total moment (μB/f.u.): 0.357
Space-group type: No. 225
Formation energy from the elements (meV per atom): 118